--- 1 ---
VASP calculation (PBE-GGA) on crystalline LaTb2Sc at its relaxed geometry.

Summary:
calculated volume = 124 Å³/cell
crystal system = monoclinic

Cell and atoms, written as POSCAR:
```
LaTb2Sc
1.0
3.518 0.099 -0.506
-1.751 5.652 1.413
-0.883 3.379 6.989
La Tb Sc
1 2 1
direct
0.472 0.302 0.016 La
0.226 0.559 0.271 Tb
0.982 0.813 0.525 Tb
0.726 0.059 0.768 Sc
```

***

--- 2 ---
VASP calculation (PBE-GGA) on crystalline LaTb2Sc at its relaxed geometry.

Summary:
calculated volume = 125 Å³/cell
crystal system = trigonal

Cell and atoms, written as POSCAR:
```
LaTb2Sc
1.0
3.540 0.000 0.000
1.770 3.066 0.000
1.770 1.022 11.476
Sc Tb La
1 2 1
direct
0.500 0.500 0.500 Sc
0.755 0.755 0.735 Tb
0.245 0.245 0.265 Tb
0.000 0.000 0.000 La
```

***

Stability, highest: 1

***

--- 1 ---
VASP calculation (PBE-GGA) on crystalline LaTb2Sc at its relaxed geometry.

Summary:
calculated volume = 125 Å³/cell
crystal system = tetragonal

Cell and atoms, written as POSCAR:
```
LaTb2Sc
1.0
5.067 0.000 0.000
0.000 4.961 0.000
0.000 0.000 4.961
Sc Tb La
1 2 1
direct
0.500 0.000 0.000 Sc
0.000 0.000 0.500 Tb
0.000 0.500 0.000 Tb
0.500 0.500 0.500 La
```

***

--- 2 ---
VASP calculation (PBE-GGA) on crystalline LaTb2Sc at its relaxed geometry.

Summary:
calculated volume = 126 Å³/cell
crystal system = cubic

Cell and atoms, written as POSCAR:
```
LaTb2Sc
1.0
-4.741 -0.264 3.033
-3.182 -4.648 -0.145
-0.276 -3.367 4.509
Sc Tb La
1 2 1
direct
0.500 0.500 0.500 Sc
0.250 0.250 0.250 Tb
0.750 0.750 0.750 Tb
0.000 0.000 0.000 La
```

***

Stability, highest: 1

***

--- 1 ---
VASP calculation (PBE-GGA) on crystalline La7Tb2Sc2 at its relaxed geometry.

Summary:
calculated volume = 379 Å³/cell
crystal system = monoclinic

Cell and atoms, written as POSCAR:
```
La7Tb2Sc2
1.0
8.191 0.862 1.244
0.161 6.927 0.369
0.161 -2.087 6.616
La Tb Sc
7 2 2
direct
0.181 0.077 0.512 La
0.819 0.488 0.923 La
0.819 0.923 0.488 La
0.181 0.512 0.077 La
0.000 0.000 0.000 La
0.483 0.797 0.797 La
0.517 0.203 0.203 La
0.818 0.425 0.425 Tb
0.182 0.575 0.575 Tb
0.500 0.290 0.710 Sc
0.500 0.710 0.290 Sc
```

***

--- 2 ---
VASP calculation (PBE-GGA) on crystalline La7Tb2Sc2 at its relaxed geometry.

Summary:
calculated volume = 377 Å³/cell
crystal system = monoclinic

Cell and atoms, written as POSCAR:
```
La7Tb2Sc2
1.0
9.239 -3.538 -2.018
-3.853 7.143 3.426
-3.084 3.538 8.940
La Tb Sc
7 2 2
direct
0.512 0.216 0.094 La
0.094 0.784 0.512 La
0.488 0.784 0.906 La
0.906 0.216 0.488 La
0.605 0.350 0.395 La
0.000 0.000 0.000 La
0.395 0.650 0.605 La
0.309 0.142 0.691 Tb
0.691 0.858 0.309 Tb
0.818 0.500 0.818 Sc
0.182 0.500 0.182 Sc
```

***

Stability, highest: 1

***

--- 1 ---
VASP calculation (PBE-GGA) on crystalline LaTb6Sc at its relaxed geometry.

Summary:
calculated volume = 253 Å³/cell
crystal system = tetragonal

Cell and atoms, written as POSCAR:
```
LaTb6Sc
1.0
-0.949 4.929 0.361
-3.674 -0.457 -3.408
-6.569 -1.801 7.322
La Tb Sc
1 6 1
direct
0.000 0.000 0.000 La
0.500 0.500 0.000 Tb
0.500 0.500 0.500 Tb
0.500 0.000 0.260 Tb
0.500 0.000 0.740 Tb
0.000 0.500 0.260 Tb
0.000 0.500 0.740 Tb
0.000 0.000 0.500 Sc
```

***

--- 2 ---
VASP calculation (PBE-GGA) on crystalline LaTb6Sc at its relaxed geometry.

Summary:
calculated volume = 281 Å³/cell
crystal system = monoclinic

Cell and atoms, written as POSCAR:
```
LaTb6Sc
1.0
5.548 -0.271 1.539
1.449 5.363 1.539
-0.504 -0.367 9.105
La Tb Sc
1 6 1
direct
0.500 0.500 0.500 La
0.452 0.941 0.713 Tb
0.941 0.452 0.713 Tb
0.059 0.548 0.287 Tb
0.548 0.059 0.287 Tb
0.632 0.632 0.074 Tb
0.368 0.368 0.926 Tb
0.000 0.000 0.000 Sc
```

***

Stability, highest: 1

***

--- 1 ---
VASP calculation (PBE-GGA) on crystalline LaTb7Sc2 at its relaxed geometry.

Summary:
calculated volume = 377 Å³/cell
crystal system = orthorhombic

Cell and atoms, written as POSCAR:
```
LaTb7Sc2
1.0
5.625 0.000 0.000
0.000 8.771 -0.208
0.000 -4.143 7.734
La Tb Sc
1 7 2
direct
0.000 0.000 0.000 La
0.000 0.754 0.246 Tb
0.000 0.246 0.754 Tb
0.500 0.059 0.305 Tb
0.500 0.941 0.695 Tb
0.500 0.305 0.059 Tb
0.500 0.695 0.941 Tb
0.500 0.500 0.500 Tb
0.500 0.703 0.297 Sc
0.500 0.297 0.703 Sc
```

***

--- 2 ---
VASP calculation (PBE-GGA) on crystalline LaTb7Sc2 at its relaxed geometry.

Summary:
calculated volume = 309 Å³/cell
crystal system = triclinic

Cell and atoms, written as POSCAR:
```
LaTb7Sc2
1.0
-2.056 4.821 -3.135
-6.366 -6.532 -1.929
-2.948 6.857 2.521
La Tb Sc
1 7 2
direct
0.000 0.000 0.000 La
0.901 0.700 0.596 Tb
0.099 0.300 0.404 Tb
0.200 0.599 0.800 Tb
0.800 0.401 0.200 Tb
0.300 0.900 0.205 Tb
0.700 0.100 0.795 Tb
0.500 0.500 0.000 Tb
0.602 0.800 0.398 Sc
0.398 0.200 0.602 Sc
```

***

Stability, highest: 2

***

--- 1 ---
VASP calculation (PBE-GGA) on crystalline LaTbSc2 at its relaxed geometry.

Summary:
calculated volume = 116 Å³/cell
crystal system = tetragonal

Cell and atoms, written as POSCAR:
```
LaTbSc2
1.0
-4.308 1.058 0.160
-1.217 -4.972 0.098
0.202 0.051 5.116
Sc Tb La
2 1 1
direct
0.000 0.000 0.500 Sc
0.000 0.500 0.000 Sc
0.500 0.500 0.500 Tb
0.500 0.000 0.000 La
```

***

--- 2 ---
VASP calculation (PBE-GGA) on crystalline LaTbSc2 at its relaxed geometry.

Summary:
calculated volume = 116 Å³/cell
crystal system = trigonal

Cell and atoms, written as POSCAR:
```
LaTbSc2
1.0
-1.326 -2.188 -2.370
-2.317 -2.421 0.966
-9.430 5.551 -2.415
La Tb Sc
1 1 2
direct
0.667 0.667 0.000 La
0.500 0.500 0.500 Tb
0.085 0.085 0.746 Sc
0.249 0.249 0.254 Sc
```

***

Stability, highest: 1